Compound: Cd2HgTe
Source: the Alexandria database
Functional: PBE
Structure: relaxed

```
Cd2HgTe
1.0
4.3999 0.0000 0.0000
0.0000 6.0538 0.0000
0.0000 0.0000 8.2955
Cd Hg Te
4 2 2
Direct
0.0000 0.0000 0.2440
0.0000 0.0000 0.7560
0.5000 0.5000 0.2560
0.5000 0.5000 0.7440
0.0000 0.5000 0.5000
0.5000 0.0000 0.0000
0.0000 0.5000 0.0000
0.5000 0.0000 0.5000
```

Output
Mass density: 8.31 g cm⁻³
Total magnetic moment: 0.00 μB/cell
Energy above the lowest structure with this stoichiometry: 0.0997 eV/atom
E: -1.333 eV/atom
Space group: Immm
DOS at the Fermi energy: 1.769 states/eV/f.u.

Compound: Ba2CdSb
Source: the Alexandria database
Functional: PBE
Structure: relaxed

```
Ba2CdSb
1.0
8.8794 0.0000 0.0000
0.0000 5.1236 0.0000
-2.9472 0.0000 8.3349
Ba Cd Sb
4 2 2
Direct
0.2384 0.0000 0.2157
0.2616 0.5000 0.7843
0.7384 0.5000 0.2157
0.7616 0.0000 0.7843
0.0000 0.0000 0.5000
0.5000 0.5000 0.5000
0.0000 0.5000 0.0000
0.5000 0.0000 0.0000
```

Output
Mass density: 4.46 g cm⁻³
Total magnetic moment: 0.00 μB/cell
Energy above the lowest structure with this stoichiometry: 0.1158 eV/atom
E: -2.814 eV/atom
Space group: C2/m
DOS at the Fermi energy: 3.155 states/eV/f.u.

Compound: Cs2ThGaSe5
Source: the Alexandria database
Functional: PBE
Structure: relaxed

```
Cs2ThGaSe5
1.0
2.0709 -10.9844 0.0000
2.0709 10.9844 0.0000
0.0000 0.0000 15.6104
Cs Th Ga Se
4 2 2 10
Direct
0.1254 0.8746 0.5000
0.1339 0.8661 0.8652
0.8661 0.1339 0.3652
0.8746 0.1254 0.0000
0.1972 0.8028 0.1984
0.8028 0.1972 0.6984
0.4291 0.5709 0.5973
0.5709 0.4291 0.0973
0.0568 0.9432 0.1889
0.3090 0.6910 0.8238
0.3178 0.6822 0.5624
0.3255 0.6745 0.1811
0.4871 0.5129 0.4696
0.5129 0.4871 0.9696
0.6745 0.3255 0.6811
0.6822 0.3178 0.0624
0.6910 0.3090 0.3238
0.9432 0.0568 0.6889
```

Output
Mass density: 4.50 g cm⁻³
Total magnetic moment: 1.49 μB/cell
E: -4.424 eV/atom
Space group: Cmc2_1
DOS at the Fermi energy: 6.548 states/eV/f.u.

Compound: Ni2BiBC
Source: the Alexandria database
Functional: PBE
Structure: relaxed

```
Ni2BiBC
1.0
3.6618 0.0000 0.0000
0.0000 3.6618 0.0000
0.0000 0.0000 5.4212
Ni Bi B C
2 1 1 1
Direct
0.0000 0.5000 0.0000
0.5000 0.0000 0.0000
0.0000 0.0000 0.5000
0.5000 0.5000 0.5000
0.0000 0.0000 0.0000
```

Output
Mass density: 7.98 g cm⁻³
Total magnetic moment: 0.00 μB/cell
ΔE_f: 0.9729 eV per atom
E: -5.296 eV/atom
Space group: P4/mmm
DOS at the Fermi energy: 2.399 states/eV/f.u.

Compound: Pr3Be2InPd9
Source: the Alexandria database
Functional: PBE
Structure: relaxed

```
Pr3Be2InPd9
1.0
5.9702 0.0000 0.0000
-2.9851 5.1704 0.0000
0.0000 0.0000 9.5389
Pr Be In Pd
3 2 1 9
Direct
0.0000 0.0000 0.0000
0.3333 0.6667 0.6873
0.6667 0.3333 0.3127
0.3333 0.6667 0.1453
0.6667 0.3333 0.8547
0.0000 0.0000 0.5000
0.0000 0.5000 0.0000
0.1625 0.3251 0.2776
0.1625 0.8375 0.2776
0.3251 0.1625 0.7224
0.5000 0.0000 0.0000
0.5000 0.5000 0.0000
0.6749 0.8375 0.2776
0.8375 0.1625 0.7224
0.8375 0.6749 0.7224
```

Output
Mass density: 8.53 g cm⁻³
Total magnetic moment: 0.00 μB/cell
ΔE_f: -0.6240 eV per atom
E: -5.375 eV/atom
Space group: P-3m1
DOS at the Fermi energy: 4.526 states/eV/f.u.

Compound: LiHfTiS4
Source: the Alexandria database
Functional: PBE
Structure: relaxed

```
LiHfTiS4
1.0
-3.6049 3.7358 5.1860
3.6049 -3.7358 5.1860
3.6049 3.7358 -5.1860
Li Hf Ti S
2 2 2 8
Direct
0.3846 0.1346 0.2500
0.6154 0.8654 0.7500
0.0000 0.5000 0.5000
0.5000 0.5000 0.0000
0.0000 0.0000 0.5000
0.0000 0.5000 0.0000
0.2242 0.7451 0.4791
0.2340 0.2549 0.9791
0.2412 0.2494 0.5082
0.2412 0.7330 0.9918
0.7588 0.2670 0.0082
0.7588 0.7506 0.4918
0.7660 0.7451 0.0209
0.7758 0.2549 0.5209
```

Output
Mass density: 4.30 g cm⁻³
Total magnetic moment: 1.52 μB/cell
E: -6.651 eV/atom
Space group: Imma
DOS at the Fermi energy: 3.188 states/eV/f.u.

Compound: ReTeRu2
Source: the Alexandria database
Functional: PBE
Structure: relaxed

```
ReTeRu2
1.0
2.9580 0.0000 0.0000
0.0000 3.8930 0.0000
0.0000 0.0000 5.6894
Re Te Ru
1 1 2
Direct
0.0000 0.0000 0.0000
0.5000 0.5000 0.6724
0.0000 0.0000 0.4599
0.5000 0.5000 0.1733
```

Output
Mass density: 13.08 g cm⁻³
Total magnetic moment: 0.00 μB/cell
E: -8.015 eV/atom
Space group: Pmm2
DOS at the Fermi energy: 4.812 states/eV/f.u.

Compound: SiRu
Source: the Alexandria database
Functional: PBE
Structure: relaxed

```
SiRu
1.0
4.1138 0.0000 0.0000
-2.0569 3.5627 0.0000
0.0000 0.0000 12.3089
Si Ru
6 6
Direct
0.0000 0.0000 0.1090
0.0000 0.0000 0.8910
0.3333 0.6667 0.5576
0.3333 0.6667 0.7757
0.6667 0.3333 0.2243
0.6667 0.3333 0.4424
0.0000 0.0000 0.3017
0.0000 0.0000 0.6983
0.3333 0.6667 0.3649
0.3333 0.6667 0.9684
0.6667 0.3333 0.0316
0.6667 0.3333 0.6351
```

Output
Mass density: 7.13 g cm⁻³
Total magnetic moment: 0.00 μB/cell
E: -7.396 eV/atom
Space group: R-3m
DOS at the Fermi energy: 2.069 states/eV/f.u.

Compound: LaTeAs2
Source: the Alexandria database
Functional: PBE
Structure: relaxed

```
LaTeAs2
1.0
4.2960 0.0000 0.0000
0.0000 4.3794 0.0000
0.0000 0.0000 11.3887
La Te As
2 2 4
Direct
0.0000 0.0000 0.0000
0.0000 0.5000 0.5000
0.0000 0.0000 0.7116
0.0000 0.5000 0.2116
0.5000 0.0000 0.2177
0.5000 0.0000 0.4341
0.5000 0.5000 0.7177
0.5000 0.5000 0.9341
```

Output
Mass density: 6.45 g cm⁻³
Total magnetic moment: 0.00 μB/cell
E: -5.164 eV/atom
Space group: Amm2
DOS at the Fermi energy: 0.756 states/eV/f.u.

Compound: RbInN2
Source: the Alexandria database
Functional: PBE
Structure: relaxed

```
RbInN2
1.0
5.2083 0.0000 0.0000
0.0000 5.2083 0.0000
0.0000 0.0000 12.9563
Rb In N
4 4 8
Direct
0.0000 0.0000 0.0000
0.0000 0.5000 0.2500
0.5000 0.0000 0.7500
0.5000 0.5000 0.5000
0.0000 0.0000 0.5000
0.0000 0.5000 0.7500
0.5000 0.0000 0.2500
0.5000 0.5000 0.0000
0.0786 0.2500 0.6250
0.2500 0.5786 0.8750
0.2500 0.9214 0.3750
0.4214 0.2500 0.1250
0.5786 0.7500 0.1250
0.7500 0.0786 0.3750
0.7500 0.4214 0.8750
0.9214 0.7500 0.6250
```

Output
Mass density: 4.31 g cm⁻³
Total magnetic moment: 0.00 μB/cell
E: -4.195 eV/atom
Space group: I-42d
DOS at the Fermi energy: 1.444 states/eV/f.u.